# 1
! Tb6HgRh3, relaxed, DFT PBE; values from VASP
&SYSTEM
  ibrav = 0, nat = 20, ntyp = 3
/
ATOMIC_SPECIES
Tb 158.93 Tb.upf
Hg 200.59 Hg.upf
Rh 102.91 Rh.upf
ATOMIC_POSITIONS angstrom
Tb 1.268 4.902 5.521
Tb 4.787 4.288 6.011
Tb 2.008 2.762 8.040
Tb 5.528 7.221 4.486
Tb 0.956 -0.790 7.795
Tb 4.354 0.563 6.717
Tb 0.834 6.422 2.048
Tb 4.476 7.775 0.969
Tb 2.008 -0.236 4.278
Tb 5.528 4.223 0.725
Tb 1.268 2.697 2.753
Tb 4.787 2.082 3.243
Hg 7.005 1.730 5.786
Hg 3.485 5.254 2.978
Rh 3.211 6.623 6.658
Rh 6.731 5.012 7.942
Rh 2.766 2.361 5.283
Rh 6.286 4.623 3.481
Rh 6.731 0.362 2.106
Rh 3.211 1.972 0.823
CELL_PARAMETERS angstrom
7.039 0.000 0.000
0.000 8.506 0.386
0.000 -1.521 8.378
! - Excess energy over the best structure of this formula in the dataset: 13 meV per atom
! - Formation energy: -0.59 eV per atom


# 2
! Tb4HgRh2, relaxed, DFT PBE; values from VASP
&SYSTEM
  ibrav = 0, nat = 14, ntyp = 3
/
ATOMIC_SPECIES
Tb 158.93 Tb.upf
Hg 200.59 Hg.upf
Rh 102.91 Rh.upf
ATOMIC_POSITIONS angstrom
Tb 1.860 2.627 0.214
Tb 1.599 0.320 3.044
Tb 0.912 2.703 5.523
Tb -1.579 4.551 3.747
Tb 4.616 -1.312 3.837
Tb 0.765 5.861 1.354
Tb 3.365 4.359 3.297
Tb 0.126 -1.844 5.678
Hg 4.400 1.655 2.252
Hg -3.902 -1.223 5.349
Rh 0.706 3.254 2.769
Rh 2.358 0.116 5.675
Rh -1.416 -0.683 3.742
Rh 3.547 6.154 1.134
CELL_PARAMETERS angstrom
-4.267 -1.254 5.431
6.190 -2.771 1.807
1.002 8.359 -0.608
! - Formation energy: -0.61 eV per atom


# 3
! Tb2Hg2Rh, relaxed, DFT PBE; values from VASP
&SYSTEM
  ibrav = 0, nat = 5, ntyp = 3
/
ATOMIC_SPECIES
Tb 158.93 Tb.upf
Hg 200.59 Hg.upf
Rh 102.91 Rh.upf
ATOMIC_POSITIONS angstrom
Tb -1.826 2.356 -0.030
Tb 1.276 6.747 4.001
Hg -1.164 5.854 2.044
Hg 0.615 3.249 1.927
Rh 0.000 0.000 0.000
CELL_PARAMETERS angstrom
-0.886 1.834 -2.811
-3.310 0.005 1.047
3.646 7.264 5.735
! - Formation energy: -0.56 eV per atom


# 4
! Tb3Hg2Rh, relaxed, DFT PBE; values from VASP
&SYSTEM
  ibrav = 0, nat = 12, ntyp = 3
/
ATOMIC_SPECIES
Tb 158.93 Tb.upf
Hg 200.59 Hg.upf
Rh 102.91 Rh.upf
ATOMIC_POSITIONS angstrom
Tb 2.555 -4.975 5.742
Tb 2.555 0.000 1.757
Tb 2.555 4.975 1.687
Tb 2.555 -4.975 1.687
Tb 2.555 4.975 5.742
Tb 2.555 0.000 5.672
Hg 0.000 0.000 0.000
Hg 0.000 0.000 3.715
Hg 2.555 2.526 3.715
Hg 2.555 -2.526 3.715
Rh 2.555 2.445 0.000
Rh 2.555 -2.445 0.000
CELL_PARAMETERS angstrom
2.555 -7.621 0.000
2.555 7.621 0.000
0.000 0.000 7.429
! - Formation energy: -0.60 eV per atom


# 5
! Tb5Hg4Rh, relaxed, DFT PBE; values from VASP
&SYSTEM
  ibrav = 0, nat = 10, ntyp = 3
/
ATOMIC_SPECIES
Tb 158.93 Tb.upf
Hg 200.59 Hg.upf
Rh 102.91 Rh.upf
ATOMIC_POSITIONS angstrom
Tb 1.818 1.818 1.613
Tb 1.818 1.818 5.522
Tb 1.818 1.818 9.390
Tb 1.818 1.818 13.258
Tb 1.818 1.818 17.167
Hg 0.000 0.000 3.635
Hg 0.000 0.000 7.451
Hg 0.000 0.000 11.329
Hg 0.000 0.000 15.146
Rh 0.000 0.000 0.000
CELL_PARAMETERS angstrom
3.637 0.000 0.000
0.000 3.637 0.000
0.000 0.000 18.780
! - Formation energy: -0.55 eV per atom


# 6
! Tb6Hg2Rh, relaxed, DFT PBE; values from VASP
&SYSTEM
  ibrav = 0, nat = 18, ntyp = 3
/
ATOMIC_SPECIES
Tb 158.93 Tb.upf
Hg 200.59 Hg.upf
Rh 102.91 Rh.upf
ATOMIC_POSITIONS angstrom
Tb 6.041 7.258 2.747
Tb 5.361 5.063 5.888
Tb 5.252 5.120 9.942
Tb 4.477 1.444 5.822
Tb 4.369 1.387 9.876
Tb 4.174 3.583 2.767
Tb 0.446 0.093 7.762
Tb 1.126 2.288 4.621
Tb 1.234 2.232 0.567
Tb 2.009 5.908 4.688
Tb 2.118 5.964 0.634
Tb 2.312 3.769 7.743
Hg 6.329 3.008 7.972
Hg 3.400 6.684 7.792
Hg 3.086 0.667 2.717
Hg 0.157 4.343 2.538
Rh 3.486 3.676 0.130
Rh -0.243 0.000 5.125
CELL_PARAMETERS angstrom
6.972 0.000 0.259
0.000 7.352 0.000
-0.485 0.000 10.250
! - Excess energy over the best structure of this formula in the dataset: 64 meV per atom
! - Formation energy: -0.36 eV per atom